First-principles (GGA-PBE) data for an optimized crystal structure of LaMg2Sc2, as listed in the Alexandria database.

The space group is P4/mbm (No. 127) and the conventional cell measures 8.858, 8.858 and 3.433 Å, with angles of 90.00, 90.00 and 90.00 degrees. The asymmetric unit holds La at (0.000, 0.000, 0.000), Mg at (0.123, 0.377, 0.000) and Sc at (0.173, 0.673, 0.500).

The volume comes out at 26.9 Å³/atom. The formation energy comes out at 0.074 eV/atom.